1.
Density functional theory data (meta-GGA SCAN) for a crystal of CoSbOs2 relaxed with PBEsol.

a = 2.841 Å, b = 3.716 Å, c = 5.530 Å
α = 90.00°, β = 90.00°, γ = 90.00°
Space group Pmm2 (No. 25)
Inequivalent atoms, fractional coordinates:
Co 0.000 0.000 0.000 x1
Sb 0.500 0.500 0.765 x1
Os 0.000 0.000 0.460 x1
Os 0.500 0.500 0.245 x1

**Electronic total energy**: -196.113 eV for the cell shown
**Energy relative to the elements, uncorrected**: 0.553 eV per atom



2.
Density functional theory data (meta-GGA SCAN) for a crystal of SrLiCu2 relaxed with PBEsol.

a = 4.2523 Å, b = 4.2523 Å, c = 15.6741 Å
α = 90.00°, β = 90.00°, γ = 120.00°
Space group R-3m (No. 166, hexagonal axes)
Inequivalent atoms, fractional coordinates:
Sr 0.0000 0.0000 0.0000 x3
Li 0.0000 0.0000 0.5000 x3
Cu 0.0000 0.0000 0.1915 x6

**Electronic total energy**: -165.632 eV for the cell shown
**ΔH_f (0 K)**: -0.04 eV per atom



3.
Density functional theory data (meta-GGA SCAN) for a crystal of K3CrMo relaxed with PBEsol.

a = 6.422 Å, b = 6.422 Å, c = 6.422 Å
α = 90.00°, β = 90.00°, γ = 90.00°
Space group Pm-3m (No. 221)
Inequivalent atoms, fractional coordinates:
K 0.000 0.000 0.500 x3
Cr 0.000 0.000 0.000 x1
Mo 0.500 0.500 0.500 x1

**Electronic total energy**: -71.106 eV for the cell shown
**ΔH_f (0 K)**: 1.43 eV per atom



4.
Density functional theory data (meta-GGA SCAN) for a crystal of MgMnBr2 relaxed with PBEsol.

a = 3.712 Å, b = 4.281 Å, c = 12.852 Å
α = 90.00°, β = 90.00°, γ = 90.00°
Space group Immm (No. 71)
Inequivalent atoms, fractional coordinates:
Mg 0.000 0.000 0.000 x2
Mn 0.000 0.000 0.500 x2
Br 0.000 0.500 0.144 x4

**Electronic total energy**: -128.991 eV for the cell shown
**Energy relative to the elements, uncorrected**: -0.587 eV per atom



5.
Density functional theory data (meta-GGA SCAN) for a crystal of AsIrS2 relaxed with PBEsol.

a = 3.4791 Å, b = 3.4791 Å, c = 22.4522 Å
α = 90.00°, β = 90.00°, γ = 120.00°
Space group R-3m (No. 166, hexagonal axes)
Inequivalent atoms, fractional coordinates:
As 0.0000 0.0000 0.0000 x3
Ir 0.0000 0.0000 0.5000 x3
S 0.0000 0.0000 0.1132 x6

**Electronic total energy**: -333.064 eV for the cell shown
**Energy relative to the elements, uncorrected**: -0.119 eV per atom



6.
Density functional theory data (meta-GGA SCAN) for a crystal of SmBeCu4 relaxed with PBEsol.

a = 5.0529 Å, b = 5.0529 Å, c = 3.7999 Å
α = 90.00°, β = 90.00°, γ = 120.00°
Space group P-6m2 (No. 187)
Inequivalent atoms, fractional coordinates:
Sm 0.0000 0.0000 0.0000 x1
Be 0.6667 0.3333 0.0000 x1
Cu 0.3333 0.6667 0.0000 x1
Cu 0.5045 0.0091 0.5000 x3

**Electronic total energy**: -110.697 eV for the cell shown
**ΔH_f (0 K)**: -0.18 eV per atom



7.
Density functional theory data (meta-GGA SCAN) for a crystal of K2MoSe relaxed with PBEsol.

a = 5.837 Å, b = 8.444 Å, c = 4.619 Å
α = 90.00°, β = 90.00°, γ = 90.00°
Space group Cmmm (No. 65)
Inequivalent atoms, fractional coordinates:
K 0.250 0.250 0.000 x4
Mo 0.000 0.000 0.500 x2
Se 0.000 0.500 0.500 x2

**Electronic total energy**: -140.446 eV for the cell shown
**Energy relative to the elements, uncorrected**: 0.349 eV per atom



8.
Density functional theory data (meta-GGA SCAN) for a crystal of Mg2TeOs relaxed with PBEsol.

a = 3.078 Å, b = 3.078 Å, c = 8.537 Å
α = 90.00°, β = 90.00°, γ = 90.00°
Space group P4/mmm (No. 123)
Inequivalent atoms, fractional coordinates:
Mg 0.000 0.000 0.189 x2
Te 0.500 0.500 0.500 x1
Os 0.500 0.500 0.000 x1

**Electronic total energy**: -118.602 eV for the cell shown
**Energy relative to the elements, uncorrected**: 0.119 eV per atom



9.
Density functional theory data (meta-GGA SCAN) for a crystal of HgIr2I relaxed with PBEsol.

a = 6.576 Å, b = 6.576 Å, c = 6.576 Å
α = 90.00°, β = 90.00°, γ = 90.00°
Space group Fm-3m (No. 225)
Inequivalent atoms, fractional coordinates:
Hg 0.000 0.000 0.000 x4
Ir 0.250 0.250 0.250 x8
I 0.000 0.000 0.500 x4

**Electronic total energy**: -968.663 eV for the cell shown
**Energy relative to the elements, uncorrected**: 1.235 eV per atom



10.
Density functional theory data (meta-GGA SCAN) for a crystal of NbCI3 relaxed with PBEsol.

a = 5.457 Å, b = 5.457 Å, c = 5.457 Å
α = 90.00°, β = 90.00°, γ = 90.00°
Space group Pm-3m (No. 221)
Inequivalent atoms, fractional coordinates:
Nb 0.000 0.000 0.000 x1
C 0.500 0.500 0.500 x1
I 0.000 0.000 0.500 x3

**Electronic total energy**: -146.711 eV for the cell shown
**Energy relative to the elements, uncorrected**: 1.349 eV per atom



11.
Density functional theory data (meta-GGA SCAN) for a crystal of TaInRh2 relaxed with PBEsol.

a = 2.945 Å, b = 4.621 Å, c = 4.658 Å
α = 90.00°, β = 90.00°, γ = 90.00°
Space group Pmm2 (No. 25)
Inequivalent atoms, fractional coordinates:
Ta 0.000 0.000 0.000 x1
In 0.000 0.500 0.438 x1
Rh 0.500 0.000 0.510 x1
Rh 0.500 0.500 0.931 x1

**Electronic total energy**: -169.087 eV for the cell shown
**ΔH_f (0 K)**: -0.39 eV per atom



12.
Density functional theory data (meta-GGA SCAN) for a crystal of CaLa3I relaxed with PBEsol.

a = 5.959 Å, b = 5.959 Å, c = 5.959 Å
α = 90.00°, β = 90.00°, γ = 90.00°
Space group Pm-3m (No. 221)
Inequivalent atoms, fractional coordinates:
Ca 0.000 0.000 0.000 x1
La 0.000 0.500 0.500 x3
I 0.500 0.500 0.500 x1

**Electronic total energy**: -176.548 eV for the cell shown
**Energy relative to the elements, uncorrected**: -0.166 eV per atom